# 1
Cr2HgBr, relaxed, DFT PBE-GGA; volume = 84 Å³ per cell; uncorrected formation energy = 0.48 eV per atom; size of the total moment = 9.1 Bohr magnetons per cell
1.0
-1.649 2.741 -1.231
0.636 -1.054 -3.199
-6.094 -3.667 -0.003
Br Cr Hg
1 2 1
Direct
0.500 0.500 0.750 Br
0.000 0.000 0.018 Cr
0.000 0.000 0.482 Cr
0.500 0.500 0.250 Hg

***

# 2
ZnH2Br, relaxed, DFT PBE-GGA; volume = 116 Å³ per cell; size of the total moment = 0.0 Bohr magnetons per cell
1.0
-3.017 4.444 -1.000
0.920 -0.580 -5.354
-4.225 -0.294 -3.482
H Zn Br
4 2 2
Direct
0.372 0.125 0.250 H
0.378 0.625 0.250 H
0.375 0.628 0.750 H
0.875 0.622 0.750 H
0.500 0.500 0.000 Zn
0.250 0.750 0.500 Zn
0.000 0.000 0.000 Br
0.750 0.250 0.500 Br

***

no.,raw total energy (eV per atom)
1,-4.823
2,-2.092